Record 1
Below is crystalline HoMgAl at its relaxed geometry, with properties calculated at the PBE-GGA level.

The structure in extended XYZ format:
```
3
Lattice="-1.666 1.666 6.215 1.666 -1.666 6.215 1.666 1.666 -6.215" Properties=species:S:1:pos:R:3 pbc="T T T"
Ho 0.000 0.000 0.000
Mg 0.000 0.000 3.762
Al 0.000 0.000 8.194
```

E_tot ... -3.47 eV per atom
N(E_F) ... 1.6 states/eV/cell

=====

Record 2
Below is crystalline Ho5MgAl3 at its relaxed geometry, with properties calculated at the PBE-GGA level.

The structure in extended XYZ format:
```
18
Lattice="8.995 0.000 0.000 -4.498 7.790 0.000 0.000 0.000 6.447" Properties=species:S:1:pos:R:3 pbc="T T T"
Ho -1.404 2.432 1.612
Ho -3.094 5.358 4.836
Ho 2.808 0.000 1.612
Ho 1.404 2.432 4.836
Ho 0.000 5.193 0.000
Ho 0.000 5.193 3.224
Ho 4.498 2.597 0.000
Ho 4.498 2.597 3.224
Ho 6.187 0.000 4.836
Ho 3.094 5.358 1.612
Mg 0.000 0.000 0.000
Mg 0.000 0.000 3.224
Al -1.580 2.736 4.836
Al -2.918 5.054 1.612
Al 3.159 0.000 4.836
Al 1.580 2.736 1.612
Al 5.836 0.000 1.612
Al 2.918 5.054 4.836
```

E_tot ... -4.25 eV per atom
N(E_F) ... 14.1 states/eV/cell

=====

Record 3
Below is crystalline HoMgAl2 at its relaxed geometry, with properties calculated at the PBE-GGA level.

The structure in extended XYZ format:
```
4
Lattice="4.387 0.000 0.000 0.000 4.387 0.000 0.000 0.000 4.312" Properties=species:S:1:pos:R:3 pbc="T T T"
Ho 0.000 0.000 0.000
Mg 2.193 2.193 0.000
Al 0.000 2.193 2.156
Al 2.193 0.000 2.156
```

E_tot ... -3.74 eV per atom
N(E_F) ... 2.1 states/eV/cell
ΔE to the lowest computed polymorph ... 0.0 meV/atom

=====

Record 4
Below is crystalline Ho4MgAl2 at its relaxed geometry, with properties calculated at the PBE-GGA level.

The structure in extended XYZ format:
```
7
Lattice="2.554 1.474 8.174 -2.554 1.474 8.174 0.000 -2.949 8.174" Properties=species:S:1:pos:R:3 pbc="T T T"
Ho 0.000 0.000 2.815
Ho 0.000 0.000 9.041
Ho 0.000 0.000 15.483
Ho 0.000 0.000 21.708
Mg 0.000 0.000 12.262
Al 0.000 0.000 5.983
Al 0.000 0.000 18.540
```

E_tot ... -4.11 eV per atom
N(E_F) ... 5.7 states/eV/cell
ΔE to the lowest computed polymorph ... 0.0 meV/atom